# K2BaIF8

A geometry-optimized K2BaIF8 structure (PBE-GGA, Alexandria).

a = 6.1421 Å, b = 6.1421 Å, c = 7.2173 Å
α = 115.18°, β = 115.18°, γ = 90.00°
Atoms (fractional coordinates):
F  0.9166  0.8569  0.2787
F  0.5781  0.0834  0.7213
F  0.9166  0.4219  0.2787
F  0.5781  0.6379  0.7213
F  0.1431  0.0834  0.7213
F  0.3621  0.8569  0.2787
F  0.3621  0.4219  0.2787
F  0.1431  0.6379  0.7213
I  0.2500  0.7500  0.5000
Ba  0.5000  0.5000  0.0000
K  0.7500  0.2500  0.5000
K  0.0000  0.0000  0.0000

Computed properties:
Its total moment is 1.044 Bohr magnetons per cell. As for the raw formation energy: -2.386 eV/atom. As for the space group: I-4m2 (119).

=====

# KBaI2F

A geometry-optimized KBaI2F structure (PBE-GGA, Alexandria).

a = 6.8972 Å, b = 6.8972 Å, c = 4.9456 Å
α = 90.00°, β = 90.00°, γ = 90.00°
Atoms (fractional coordinates):
I  0.5000  0.0000  0.0000
I  0.0000  0.5000  0.0000
K  0.5000  0.5000  0.5000
F  0.0000  0.0000  0.5000
Ba  0.0000  0.0000  0.0000

Computed properties:
Its total moment is 0.000 Bohr magnetons per cell. As for the raw formation energy: -2.140 eV/atom. As for the space group: P4/mmm (123).

=====

# Ba2LaIF

A geometry-optimized Ba2LaIF structure (PBE-GGA, Alexandria).

a = 6.6745 Å, b = 5.9495 Å, c = 6.6745 Å
α = 90.00°, β = 90.00°, γ = 90.00°
Atoms (fractional coordinates):
Ba  0.0000  0.0000  0.5000
Ba  0.5000  0.0000  0.0000
F  0.5000  0.5000  0.5000
La  0.0000  0.5000  0.0000
I  0.0000  0.0000  0.0000

Computed properties:
Its total moment is 3.003 Bohr magnetons per cell. As for the raw formation energy: -0.441 eV/atom. As for the space group: P4/mmm (123).